Record 1
Material: TlGa3I4
Method: DFT, GGA-PBE
State: relaxed

Cell and atoms, written as POSCAR:
```
TlGa3I4
1.0
4.781 -6.752 0.000
4.781 6.752 0.000
0.000 0.000 4.767
Tl Ga I
1 3 4
Cartesian
0.000 0.000 0.000 Tl
2.391 3.376 2.383 Ga
2.391 -3.376 2.383 Ga
4.781 0.000 0.000 Ga
4.781 3.284 0.000 I
2.523 0.000 2.383 I
7.040 0.000 2.383 I
4.781 -3.284 0.000 I
```

Values from the calculation:
The volume comes out at 38.47 Å³ per atom. The uncorrected formation energy comes out at -9.58 kcal/mol of atoms. As for the symmetry: No. 65.

Record 2
Material: HoPtRh4
Method: DFT, GGA-PBE
State: relaxed

Cell and atoms, written as POSCAR:
```
HoPtRh4
1.0
0.000 3.679 3.679
3.679 0.000 3.679
3.679 3.679 0.000
Ho Pt Rh
1 1 4
Cartesian
0.000 0.000 0.000 Ho
5.519 5.519 5.519 Pt
2.764 2.764 2.764 Rh
4.595 4.595 2.764 Rh
4.595 2.764 4.595 Rh
2.764 4.595 4.595 Rh
```

Values from the calculation:
The volume comes out at 16.60 Å³ per atom. As for the symmetry: No. 216. The energy relative to the elements is -0.30 eV/atom.

Number 1: spin magnetization 0.00 μB/atom. Number 2: spin magnetization 0.00 μB/atom.